Here is crystalline CdAgSe2 at its relaxed geometry from Alexandria via LeMat-Bulk. Energies are from GGA-PBE.

a = 7.153 Å, b = 7.153 Å, c = 7.153 Å
α = 150.15°, β = 149.90°, γ = 42.91°
Element x y z (fractional)
Cd 0.000 0.000 0.000
Ag 0.747 0.247 0.500
Se 0.164 0.664 0.500
Se 0.409 0.409 0.000

Output
Formation energy without anion corrections   -0.3 eV/f.u.
Crystal system   orthorhombic
Magnetic moment   0.00 μB/f.u.
VASP energy   -2.763 eV/atom

=====

Here is crystalline CdAg2Se at its relaxed geometry from Alexandria via LeMat-Bulk. Energies are from GGA-PBE.

a = 5.290 Å, b = 5.290 Å, c = 4.251 Å
α = 112.46°, β = 112.46°, γ = 47.52°
Element x y z (fractional)
Cd 0.000 0.000 0.000
Ag 0.250 0.250 0.750
Ag 0.750 0.750 0.250
Se 0.500 0.500 0.500

Output
Energy relative to the lowest polymorph listed for this composition   0.050 eV per atom
Formation energy without anion corrections   0.0 eV/f.u.
Crystal system   monoclinic
Magnetic moment   0.00 μB/f.u.
VASP energy   -2.522 eV/atom

=====

Here is crystalline CdAgSe2 at its relaxed geometry from Alexandria via LeMat-Bulk. Energies are from GGA-PBE.

a = 4.312 Å, b = 3.946 Å, c = 5.576 Å
α = 90.00°, β = 107.75°, γ = 90.00°
Element x y z (fractional)
Cd 0.000 0.000 0.000
Ag 0.500 0.000 0.500
Se 0.255 0.500 0.745
Se 0.745 0.500 0.255

Output
Formation energy without anion corrections   -0.3 eV/f.u.
Crystal system   monoclinic
Magnetic moment   0.00 μB/f.u.
VASP energy   -2.754 eV/atom

=====

Here is crystalline CdAgSe2 at its relaxed geometry from Alexandria via LeMat-Bulk. Energies are from GGA-PBE.

a = 2.975 Å, b = 2.975 Å, c = 10.193 Å
α = 90.00°, β = 90.00°, γ = 96.31°
Element x y z (fractional)
Cd 0.000 0.000 0.000
Ag 0.500 0.500 0.786
Se 0.000 0.000 0.575
Se 0.500 0.500 0.222

Output
Formation energy without anion corrections   0.6 eV/f.u.
Crystal system   orthorhombic
Magnetic moment   0.00 μB/f.u.
VASP energy   -2.543 eV/atom

=====

Here is crystalline CdAgSe2 at its relaxed geometry from Alexandria via LeMat-Bulk. Energies are from GGA-PBE.

a = 8.316 Å, b = 8.316 Å, c = 8.316 Å
α = 28.05°, β = 28.05°, γ = 28.05°
Element x y z (fractional)
Cd 0.000 0.000 0.000
Ag 0.500 0.500 0.500
Se 0.397 0.397 0.397
Se 0.603 0.603 0.603

Output
Formation energy without anion corrections   -0.4 eV/f.u.
Crystal system   trigonal
Magnetic moment   0.00 μB/f.u.
VASP energy   -2.783 eV/atom

=====

Here is crystalline CdAgSe2 at its relaxed geometry from Alexandria via LeMat-Bulk. Energies are from GGA-PBE.

a = 10.618 Å, b = 10.618 Å, c = 10.618 Å
α = 17.46°, β = 17.46°, γ = 17.46°
Element x y z (fractional)
Cd 0.000 0.000 0.000
Ag 0.260 0.260 0.260
Se 0.527 0.527 0.527
Se 0.735 0.735 0.735

Output
Formation energy without anion corrections   0.8 eV/f.u.
Crystal system   trigonal
Magnetic moment   0.00 μB/f.u.
VASP energy   -2.478 eV/atom

=====

- Number 1 is which compound?
  CdAgSe2

=====

- Look up the magnetic moment of the sixth one.
  0.00 μB/f.u.